A plane-wave DFT calculation with PBE with a Hubbard U was carried out for NaCrF5 after structural relaxation.

Unit cell a=5.5881 b=5.5881 c=5.5881 alpha=139.51 beta=108.09 gamma=85.92
With the nearest neighbours (Å) after each atom.
Positions (direct):
Na (0.0000, 0.0000, 0.0000)  6 F 2.28-2.41
Cr (0.5000, 0.5000, 0.0000)  6 F 1.81-1.93
F (0.2197, 0.5000, 0.7197)  1 Cr 1.84
F (0.2783, 0.2783, 0.0000)  1 Cr 1.81
F (0.5000, 0.0000, 0.5000)  2 Cr 1.93
F (0.7217, 0.7217, 0.0000)  1 Cr 1.81
F (0.7803, 0.5000, 0.2803)  1 Cr 1.84

raw total energy = -5.13 eV/atom
magnetic moment = 2.0 μB per formula unit
D(E_F) = 0.00 states/eV per cell